# 1
Compound: Li2GeTe3
Source: Alexandria via LeMat-Bulk
Functional: PBE
Structure: relaxed

Lattice parameters (Å, degrees): 13.5038 6.7064 7.3062 90.00 105.90 90.00
Space group C2/c (No. 15)
Asymmetric unit:
Li 0.1705 0.0892 0.0775 (multiplicity 8)
Ge 0.0000 0.4049 0.2500 (multiplicity 4)
Te 0.0000 0.0036 0.2500 (multiplicity 4)
Te 0.1564 0.4889 0.5823 (multiplicity 8)

Values from the calculation:
- calculated density (Mg/m³) = 4.90
- calculated total energy (eV per formula unit) = -20.560


# 2
Compound: BeSnOs2
Source: Alexandria via LeMat-Bulk
Functional: PBE
Structure: relaxed

Lattice parameters (Å, degrees): 4.0707 4.0707 16.7870 90.00 90.00 90.00
Space group I-42d (No. 122)
Asymmetric unit:
Be 0.0000 0.0000 0.0000 (multiplicity 4)
Sn 0.0000 0.0000 0.5000 (multiplicity 4)
Os 0.1597 0.2500 0.1250 (multiplicity 8)

Values from the calculation:
- offset from the most stable computed form (meV/atom) = 222
- energy of formation (eV per formula unit) = 2.4
- calculated density (Mg/m³) = 12.13
- calculated total energy (eV per formula unit) = -27.812


# 3
Compound: RbMn2ReOs
Source: Alexandria via LeMat-Bulk
Functional: PBE
Structure: relaxed

Lattice parameters (Å, degrees): 4.7490 4.7490 6.0525 90.00 90.00 90.00
Space group P4/mmm (No. 123)
Asymmetric unit:
Rb 0.0000 0.0000 0.0000 (multiplicity 1)
Mn 0.0000 0.5000 0.5000 (multiplicity 2)
Re 0.5000 0.5000 0.0000 (multiplicity 1)
Os 0.0000 0.0000 0.5000 (multiplicity 1)

Values from the calculation:
- energy of formation (eV per formula unit) = 12.3
- calculated density (Mg/m³) = 6.96
- calculated total energy (eV per formula unit) = -30.661


# 4
Compound: Cr2SiAg
Source: Alexandria via LeMat-Bulk
Functional: PBE
Structure: relaxed

Lattice parameters (Å, degrees): 2.7257 2.7257 7.2528 90.00 90.00 90.00
Space group P4/mmm (No. 123)
Asymmetric unit:
Cr 0.0000 0.0000 0.2113 (multiplicity 2)
Si 0.5000 0.5000 0.0000 (multiplicity 1)
Ag 0.5000 0.5000 0.5000 (multiplicity 1)

Values from the calculation:
- calculated density (Mg/m³) = 7.39
- calculated total energy (eV per formula unit) = -26.395


# 5
Compound: CrTe2P
Source: Alexandria via LeMat-Bulk
Functional: PBE
Structure: relaxed

Lattice parameters (Å, degrees): 3.8253 3.8253 14.4488 90.00 90.00 90.00
Space group I-4m2 (No. 119)
Asymmetric unit:
Cr 0.0000 0.0000 0.0000 (multiplicity 2)
Te 0.0000 0.0000 0.5000 (multiplicity 2)
Te 0.0000 0.5000 0.2500 (multiplicity 2)
P 0.0000 0.5000 0.7500 (multiplicity 2)

Values from the calculation:
- calculated density (Mg/m³) = 5.31
- calculated total energy (eV per formula unit) = -19.490


# 6
Compound: AuSeI3
Source: Alexandria via LeMat-Bulk
Functional: PBE
Structure: relaxed

Lattice parameters (Å, degrees): 7.0432 8.0215 17.1445 90.00 105.53 90.00
Space group P2/c (No. 13)
Asymmetric unit:
Au 0.0738 0.0138 0.3729 (multiplicity 4)
Se 0.0203 0.3034 0.3186 (multiplicity 4)
I 0.1522 0.2751 0.9510 (multiplicity 4)
I 0.2895 0.1403 0.6936 (multiplicity 4)
I 0.4112 0.1982 0.4362 (multiplicity 4)

Values from the calculation:
- offset from the most stable computed form (meV/atom) = 0
- calculated density (Mg/m³) = 4.67
- calculated total energy (eV per formula unit) = -11.279


# 7
Compound: LaPaCoN3
Source: Alexandria via LeMat-Bulk
Functional: PBE
Structure: relaxed

Lattice parameters (Å, degrees): 7.3012 3.4762 7.3909 90.00 102.36 90.00
Space group P2_1/m (No. 11)
Asymmetric unit:
La 0.2172 0.2500 0.1778 (multiplicity 2)
Pa 0.1800 0.2500 0.6647 (multiplicity 2)
Co 0.4188 0.7500 0.9121 (multiplicity 2)
N 0.1358 0.7500 0.8642 (multiplicity 2)
N 0.1409 0.7500 0.4426 (multiplicity 2)
N 0.4881 0.7500 0.1818 (multiplicity 2)

Values from the calculation:
- calculated density (Mg/m³) = 8.53
- calculated total energy (eV per formula unit) = -53.133


# 8
Compound: Sr2Hg2Bi3
Source: Alexandria via LeMat-Bulk
Functional: PBE
Structure: relaxed

Lattice parameters (Å, degrees): 12.3853 5.4139 7.0163 90.00 106.25 90.00
Space group C2/m (No. 12)
Asymmetric unit:
Sr 0.1040 0.0000 0.2964 (multiplicity 4)
Hg 0.1162 0.5000 0.6297 (multiplicity 4)
Bi 0.0000 0.5000 0.0000 (multiplicity 2)
Bi 0.2161 0.0000 0.8422 (multiplicity 4)

Values from the calculation:
- offset from the most stable computed form (meV/atom) = 34
- energy of formation (eV per formula unit) = -3.3
- calculated density (Mg/m³) = 8.85
- calculated total energy (eV per formula unit) = -18.863